The following is a PBE calculation of a relaxed structure of SrLaAgPb, from Alexandria.

POSCAR file:
```
SrLaAgPb
1.0
-3.148 1.070 4.521
-1.854 -4.227 3.193
2.117 -0.772 5.140
Pb Ag Sr La
1 1 1 1
direct
0.750 0.750 0.750
0.250 0.250 0.250
0.500 0.500 0.500
0.000 0.000 0.000
```

DOS at the Fermi energy in states/eV per atom: 0.42
Spin magnetization in Bohr magnetons per cell: 0.00
ΔH_f (0 K) in meV per atom: -458
Space group: F-43m, No. 216
Uncorrected energy in eV per atom: -3.75